Entry from Alexandria: crystalline Zr2Ag2Bi at its relaxed geometry (PBE).

As for the density of states at the Fermi level: 7.60 states/eV per cell. The calculation puts the electronic total energy at -5.2826 eV per atom. Its space group is P4/mbm (127). The spin magnetization is 0.0000 μB/atom. The value obtained for the relative energy among the computed polymorphs is 0.000 eV/atom. For the formation energy, the calculation gives 5.1 kJ/mol of atoms.

Lattice parameters (Å, degrees): 8.2294 8.2294 3.3091 90.00 90.00 90.00
Sites, in units of the cell vectors:
1 Zr 0.1688 0.3312 0.0000
2 Zr 0.3312 0.8312 0.0000
3 Zr 0.6688 0.1688 0.0000
4 Zr 0.8312 0.6688 0.0000
5 Ag 0.1236 0.6236 0.5000
6 Ag 0.3764 0.1236 0.5000
7 Ag 0.6236 0.8764 0.5000
8 Ag 0.8764 0.3764 0.5000
9 Bi 0.0000 0.0000 0.5000
10 Bi 0.5000 0.5000 0.5000